Material: NdCr2TcO8
Method: DFT, GGA+U
State: optimized geometry

The structure in POSCAR format:
```
NdCr2TcO8
1.0
-0.154 4.677 -0.851
-4.419 -0.334 -1.719
-2.388 1.003 5.941
Nd Cr Tc O
1 2 1 8
direct
0.000 0.000 0.500 Nd
0.500 0.500 0.750 Cr
0.500 0.500 0.250 Cr
0.000 0.000 0.000 Tc
0.202 0.798 0.206 O
0.711 0.711 0.000 O
0.799 0.202 0.206 O
0.798 0.202 0.794 O
0.289 0.289 0.000 O
0.201 0.798 0.794 O
0.670 0.671 0.500 O
0.330 0.329 0.500 O
```

## Properties
Calculated volume ... 146.5 Å³/cell
D(E_F) ... 0.1622 states/eV per atom
Symmetry ... Cmmm
Electronic total energy ... -7.6652 eV/atom
Size of the total moment ... 6.01 μB/f.u.